The following is a DFT calculation (meta-GGA SCAN) of La2AgRh at its PBEsol-relaxed geometry.

Geometry as POSCAR:
```
La2AgRh
1.0
-3.863 1.172 0.600
-0.676 0.060 -4.464
0.390 -5.750 -0.136
Rh Ag La
1 1 2
direct
0.850 0.000 0.700
0.672 0.500 0.344
0.098 0.000 0.196
0.383 0.500 0.766
```

**Total magnetic moment**: 0.000 μB/atom
**Energy**: -38.40 eV per atom
**Energy relative to the elements**: -0.560 eV per atom
**DOS(E_F)**: 2.53 states/eV/f.u.